(1)
An optimized crystal structure of InGaHg2. Source: Alexandria via LeMat-Bulk, functional GGA-PBE.

Lattice parameters (Å, degrees): 3.510 3.510 7.975 90.00 90.00 90.00
Fractional coordinates of all 4 atoms:
Hg 0.000 0.000 0.770
Hg 0.000 0.000 0.230
Ga 0.500 0.500 0.000
In 0.500 0.500 0.500

Formation enthalpy at 0 K = 0.0478 eV/atom
Electronic total energy = -1.544 eV per atom


(2)
An optimized crystal structure of Sm6HoTm2Th. Source: Alexandria via LeMat-Bulk, functional GGA-PBE.

Lattice parameters (Å, degrees): 9.510 8.820 8.820 115.98 93.33 93.33
Fractional coordinates of all 20 atoms:
Sm 0.059 0.112 0.765
Sm 0.441 0.235 0.888
Sm 0.941 0.888 0.235
Sm 0.559 0.765 0.112
Sm 0.313 0.992 0.430
Sm 0.187 0.570 0.008
Sm 0.687 0.008 0.570
Sm 0.813 0.430 0.992
Sm 0.116 0.706 0.482
Sm 0.384 0.518 0.294
Sm 0.884 0.294 0.518
Sm 0.616 0.482 0.706
Ho 0.250 0.410 0.590
Ho 0.750 0.590 0.410
Tm 0.447 0.797 0.702
Tm 0.053 0.298 0.203
Tm 0.553 0.203 0.298
Tm 0.947 0.702 0.797
Th 0.250 0.967 0.033
Th 0.750 0.033 0.967

Formation enthalpy at 0 K = 0.1460 eV/atom
Electronic total energy = -4.780 eV per atom


(3)
An optimized crystal structure of CeEr3. Source: Alexandria via LeMat-Bulk, functional GGA-PBE.

Lattice parameters (Å, degrees): 5.607 5.607 5.607 60.00 60.00 60.00
Site moments in Bohr magnetons follow the coordinates.
Fractional coordinates of all 4 atoms:
Ce 0.500 0.500 0.500  0.65
Er 0.000 0.000 0.000  0.07
Er 0.750 0.750 0.750  0.07
Er 0.250 0.250 0.250  0.07

Formation enthalpy at 0 K = 0.1609 eV/atom
Electronic total energy = -4.745 eV per atom


(4)
An optimized crystal structure of Li3ZnTe. Source: Alexandria via LeMat-Bulk, functional GGA-PBE.

Lattice parameters (Å, degrees): 4.799 4.799 4.799 90.00 90.00 90.00
Fractional coordinates of all 5 atoms:
Zn 0.000 0.000 0.000
Te 0.500 0.500 0.500
Li 0.000 0.500 0.000
Li 0.000 0.000 0.500
Li 0.500 0.000 0.000

Electronic total energy = -2.150 eV per atom


(5)
An optimized crystal structure of MnHgP4. Source: Alexandria via LeMat-Bulk, functional GGA-PBE.

Lattice parameters (Å, degrees): 5.225 5.225 5.225 60.00 60.00 60.00
Site moments in Bohr magnetons follow the coordinates.
Fractional coordinates of all 6 atoms:
Mn 0.000 0.000 0.000  4.02
Hg 0.750 0.750 0.750  0.00
P 0.877 0.374 0.374  0.01
P 0.374 0.374 0.877  0.01
P 0.374 0.877 0.374  0.01
P 0.374 0.374 0.374  0.01

Formation enthalpy at 0 K = 0.6516 eV/atom
Electronic total energy = -4.534 eV per atom


(6)
An optimized crystal structure of La3Y2Tm3. Source: Alexandria via LeMat-Bulk, functional GGA-PBE.

Lattice parameters (Å, degrees): 5.758 6.050 8.855 110.95 108.97 90.00
Fractional coordinates of all 8 atoms:
La 0.134 0.569 0.268
La 0.866 0.431 0.732
La 0.000 0.000 0.000
Y 0.251 0.185 0.503
Y 0.749 0.815 0.497
Tm 0.633 0.185 0.266
Tm 0.500 0.500 0.000
Tm 0.367 0.815 0.734

Formation enthalpy at 0 K = 0.0949 eV/atom
Electronic total energy = -5.046 eV per atom


(7)
An optimized crystal structure of Y3HfI. Source: Alexandria via LeMat-Bulk, functional GGA-PBE.

Lattice parameters (Å, degrees): 5.701 5.701 5.701 90.00 90.00 90.00
Fractional coordinates of all 5 atoms:
I 0.500 0.500 0.500
Y 0.000 0.500 0.000
Y 0.000 0.000 0.500
Y 0.500 0.000 0.000
Hf 0.000 0.000 0.000

Electronic total energy = -5.624 eV per atom


(8)
An optimized crystal structure of LaMg2N2. Source: Alexandria via LeMat-Bulk, functional GGA-PBE.

Lattice parameters (Å, degrees): 3.595 3.595 6.169 73.06 73.06 90.00
Fractional coordinates of all 5 atoms:
Mg 0.750 0.250 0.500
Mg 0.250 0.750 0.500
N 0.351 0.351 0.298
N 0.649 0.649 0.702
La 0.000 0.000 0.000

Electronic total energy = -5.451 eV per atom


(9)
An optimized crystal structure of LiMn2In2. Source: Alexandria via LeMat-Bulk, functional GGA-PBE.

Lattice parameters (Å, degrees): 7.723 7.723 2.892 90.00 90.00 90.00
Site moments in Bohr magnetons follow the coordinates.
Fractional coordinates of all 10 atoms:
Mn 0.407 0.907 0.000  0.38
Mn 0.907 0.593 0.000  0.43
Mn 0.593 0.093 0.000  0.38
Mn 0.093 0.407 0.000  0.43
Li 0.000 0.000 0.000  -0.01
Li 0.500 0.500 0.000  -0.01
In 0.194 0.694 0.500  -0.03
In 0.694 0.806 0.500  -0.03
In 0.806 0.306 0.500  -0.03
In 0.306 0.194 0.500  -0.03

Formation enthalpy at 0 K = 0.2882 eV/atom
Electronic total energy = -4.858 eV per atom


(10)
An optimized crystal structure of MnPPbCl2. Source: Alexandria via LeMat-Bulk, functional GGA-PBE.

Lattice parameters (Å, degrees): 5.401 5.401 5.569 90.00 90.00 90.00
Site moments in Bohr magnetons follow the coordinates.
Fractional coordinates of all 5 atoms:
Pb 0.000 0.000 0.000  -0.02
P 0.000 0.000 0.500  -0.20
Mn 0.500 0.500 0.500  4.73
Cl 0.000 0.500 0.000  0.01
Cl 0.500 0.000 0.000  0.01

Electronic total energy = -4.001 eV per atom


(11)
An optimized crystal structure of Zn2CrSi. Source: Alexandria via LeMat-Bulk, functional GGA-PBE.

Lattice parameters (Å, degrees): 4.774 2.546 4.434 89.77 90.00 90.00
Site moments in Bohr magnetons follow the coordinates.
Fractional coordinates of all 4 atoms:
Cr 0.500 0.250 0.250  0.49
Si 0.500 0.750 0.750  -0.02
Zn 0.000 0.963 0.004  0.00
Zn 0.000 0.537 0.496  0.00

Electronic total energy = -4.272 eV per atom


(12)
An optimized crystal structure of YPb4Cl. Source: Alexandria via LeMat-Bulk, functional GGA-PBE.

Lattice parameters (Å, degrees): 6.406 6.406 6.406 60.00 60.00 60.00
Fractional coordinates of all 6 atoms:
Y 0.750 0.750 0.750
Pb 0.874 0.375 0.375
Pb 0.375 0.375 0.874
Pb 0.375 0.874 0.375
Pb 0.375 0.375 0.375
Cl 0.000 0.000 0.000

Electronic total energy = -4.001 eV per atom